No. 1
Nd6Co2TeBr3: optimized geometry, PBE.

Summary:
D(E_F) = 0.69 states/eV per atom
magnetic moment = 0.00 μB/f.u.
uncorrected formation energy = -0.906 eV/atom

```
Nd6Co2TeBr3
1.0
4.180 0.000 0.000
0.000 9.220 0.102
-2.090 -2.883 9.093
Co Nd Te Br
2 6 1 3
Direct
0.171 0.343 0.343
0.829 0.657 0.657
0.683 0.560 0.365
0.969 0.733 0.937
0.317 0.440 0.635
0.031 0.267 0.063
0.674 0.147 0.349
0.326 0.853 0.651
0.500 0.000 0.000
0.158 0.839 0.316
0.842 0.161 0.684
0.500 0.500 0.000
```

---

No. 2
Er3CdPt12: optimized geometry, PBE.

Summary:
D(E_F) = 0.97 states/eV per atom
calculated formation energy = -0.85 eV per atom
magnetic moment = 0.00 μB/f.u.

```
Er3CdPt12
1.0
-0.918 0.432 -3.963
-3.106 -2.626 0.433
-9.960 12.384 3.658
Er Pt Cd
3 12 1
Direct
0.000 0.000 0.752
0.000 0.000 0.500
0.000 0.000 0.248
0.500 0.000 0.877
0.000 0.500 0.626
0.000 0.500 0.877
0.000 0.500 0.374
0.500 0.500 0.248
0.500 0.000 0.626
0.500 0.000 0.374
0.500 0.000 0.123
0.500 0.500 0.500
0.500 0.500 0.000
0.500 0.500 0.752
0.000 0.500 0.123
0.000 0.000 0.000
```

---

No. 3
La12HoTl4O3: optimized geometry, PBE.

Summary:
D(E_F) = 1.02 states/eV per atom
magnetic moment = 0.00 μB/f.u.
uncorrected formation energy = -0.828 eV/atom

```
La12HoTl4O3
1.0
-7.092 -5.605 1.283
7.177 -4.803 -2.964
2.118 4.083 7.887
La Tl O Ho
12 4 3 1
Direct
0.250 0.750 0.500
0.750 0.250 0.500
0.725 0.000 0.725
0.275 0.275 0.000
0.250 0.500 0.750
0.500 0.250 0.750
0.500 0.750 0.250
0.000 0.725 0.725
0.275 0.000 0.275
0.725 0.725 0.000
0.750 0.500 0.250
0.000 0.275 0.275
0.500 0.000 0.000
0.000 0.500 0.000
0.000 0.000 0.500
0.500 0.500 0.500
0.500 0.000 0.500
0.500 0.500 0.000
0.000 0.500 0.500
0.000 0.000 0.000
```

---

No. 4
Pr5Nd7Ho: optimized geometry, PBE.

Summary:
D(E_F) = 1.63 states/eV per atom
calculated formation energy = 0.23 eV per atom
magnetic moment = 0.00 μB/f.u.

```
Pr5Nd7Ho
1.0
6.927 0.000 0.000
3.464 8.243 0.279
3.464 0.252 8.244
Pr Nd Ho
5 7 1
Direct
0.445 0.557 0.004
0.993 0.557 0.004
0.993 0.004 0.557
0.766 0.734 0.734
0.445 0.004 0.557
0.483 0.850 0.185
0.427 0.573 0.573
0.733 0.267 0.267
0.239 0.261 0.261
0.979 0.704 0.337
0.483 0.185 0.850
0.979 0.337 0.704
0.035 0.965 0.965
```

---

No. 5
ScMn2Se: optimized geometry, PBE.

Summary:
D(E_F) = 1.23 states/eV per atom
magnetic moment = 6.49 μB/f.u.
uncorrected formation energy = -0.143 eV/atom

```
ScMn2Se
1.0
-3.001 -1.456 -1.915
-1.871 -0.512 3.321
-1.753 4.085 -0.358
Sc Mn Se
1 2 1
Direct
0.500 0.000 0.500
0.000 0.000 0.000
0.500 0.500 0.000
0.000 0.500 0.500
```

---

No. 6
KHgSb3: optimized geometry, PBE.

Summary:
D(E_F) = 1.02 states/eV per atom
excess energy over the best structure of this formula in the dataset = 4.02 eV per formula unit
magnetic moment = 0.45 μB/f.u.
uncorrected formation energy = 1.154 eV/atom

```
KHgSb3
1.0
-3.050 3.039 4.089
3.203 -2.563 4.294
3.962 4.411 -0.323
K Sb Hg
1 3 1
Direct
0.000 0.000 0.000
0.000 0.500 0.000
0.000 0.000 0.500
0.500 0.000 0.000
0.500 0.500 0.500
```